Below is a geometry-optimized BaCd2SbAu4 structure, with properties calculated at the GGA-PBE level.

Cell and atoms, written as CIF:
```
data_BaCd2SbAu4
_chemical_formula_sum 'Ba3 Cd6 Sb3 Au12'
_space_group_name_H-M_alt 'R -3 m'
_space_group_IT_number 166
_space_group_name_Hall '-R 3 2"'
_cell_length_a 4.6495
_cell_length_b 4.6495
_cell_length_c 32.1114
_cell_angle_alpha 90.00
_cell_angle_beta 90.00
_cell_angle_gamma 120.00
loop_
_atom_site_label
_atom_site_fract_x
_atom_site_fract_y
_atom_site_fract_z
Ba1 0.0000 0.0000 0.0000
Cd1 0.0000 0.0000 0.2446
Sb1 0.0000 0.0000 0.5000
Au1 0.0000 0.0000 0.1256
Au2 0.0000 0.0000 0.3994
```

* uncorrected energy: -2.91 eV/atom
* volume: 25.05 Å³ per atom
* E_form (uncorrected): -0.286 eV/atom
* size of the total moment: 0.0 μB/f.u.